# 1
The following is a PBE calculation of a geometry-optimized GaBiC2 structure, from Alexandria.

Geometry as POSCAR:
```
GaBiC2
1.0
5.010 0.000 0.000
0.000 5.010 0.000
2.505 2.505 5.051
Ga C Bi
2 4 2
direct
0.250 0.750 0.500
0.500 0.500 0.000
0.875 0.837 0.750
0.375 0.413 0.750
0.587 0.125 0.250
0.163 0.625 0.250
0.000 0.000 0.000
0.750 0.250 0.500
```

Computed properties:
* DOS(E_F): 0.0 states/eV per cell
* total magnetic moment: 0.0 μB per cell
* E_form: 1.06 eV per atom
* ΔE to the lowest computed polymorph: 0.000 eV per atom
* VASP energy: -42.216 eV/cell

# 2
The following is a PBE calculation of a geometry-optimized NaCeI4 structure, from Alexandria.

Geometry as POSCAR:
```
NaCeI4
1.0
-0.534 3.034 -3.492
-8.671 -3.388 -4.723
-7.363 8.199 5.146
I Ce Na
8 2 2
direct
0.942 0.437 0.179
0.177 0.709 0.436
0.442 0.937 0.679
0.558 0.063 0.321
0.823 0.291 0.564
0.322 0.791 0.064
0.678 0.209 0.936
0.058 0.563 0.821
0.000 0.000 0.500
0.500 0.500 0.000
0.250 0.250 0.750
0.750 0.750 0.250
```

Computed properties:
* DOS(E_F): 9.5 states/eV per cell
* total magnetic moment: 2.0 μB per cell
* ΔE_f (raw): -1.315 eV per atom
* ΔE to the lowest computed polymorph: 0.000 eV per atom
* VASP energy: -42.684 eV/cell

# 3
The following is a PBE calculation of a geometry-optimized CeYHoIn structure, from Alexandria.

Geometry as POSCAR:
```
CeYHoIn
1.0
-0.130 -1.558 5.168
4.609 -0.898 2.666
1.577 3.401 3.886
In Y Ce Ho
1 1 1 1
direct
0.000 0.000 0.000
0.750 0.750 0.750
0.500 0.500 0.500
0.250 0.250 0.250
```

Computed properties:
* DOS(E_F): 6.6 states/eV per cell
* total magnetic moment: 0.4 μB per cell
* E_form: -0.07 eV per atom
* VASP energy: -20.006 eV/cell

# 4
The following is a PBE calculation of a geometry-optimized Ce4GaTc4 structure, from Alexandria.

Geometry as POSCAR:
```
Ce4GaTc4
1.0
-0.516 0.897 4.248
-3.049 -5.615 3.065
5.826 -2.152 3.412
Ce Tc Ga
4 4 1
direct
0.696 0.409 0.199
0.105 0.199 0.591
0.304 0.591 0.801
0.895 0.801 0.409
0.533 0.173 0.761
0.467 0.827 0.239
0.294 0.239 0.173
0.706 0.761 0.827
0.000 0.000 0.000
```

Computed properties:
* DOS(E_F): 7.1 states/eV per cell
* total magnetic moment: 0.0 μB per cell
* E_form: 0.04 eV per atom
* VASP energy: -67.862 eV/cell

# 5
The following is a PBE calculation of a geometry-optimized FeRu2Se structure, from Alexandria.

Geometry as POSCAR:
```
FeRu2Se
1.0
-0.814 2.765 -3.215
-2.836 -1.048 -3.083
-3.814 2.015 -0.201
Ru Fe Se
2 1 1
direct
0.250 0.250 0.250
0.000 0.000 0.000
0.500 0.500 0.500
0.750 0.750 0.750
```

Computed properties:
* DOS(E_F): 4.2 states/eV per cell
* total magnetic moment: 2.7 μB per cell
* ΔE_f (raw): 0.451 eV per atom
* VASP energy: -28.696 eV/cell

Question: Look up the VASP energy of the fifth one.
Answer: -28.696 eV/cell

Question: What is the formula in the first record?
Answer: GaBiC2

Question: Which value of VASP energy does entry 3 give?
Answer: -20.006 eV/cell